Material: SrTcC
Method: DFT, GGA-PBE
State: optimized geometry

Summary:
- Offset from the most stable computed form: 12.8 kJ per mole of atoms
- Formation energy from the elements: 0.2795 eV/atom
- N(E_F): 1.57 states/eV/f.u.

Cell lengths 3.546, 4.879, 3.550 Å; angles 90.00, 119.69, 90.00 degrees
Atoms (fractional coordinates):
Sr 0.000 0.000 0.000
Tc 0.338 0.500 0.659
C 0.672 0.500 0.325

Material: LaPrDyTm3
Method: DFT, GGA-PBE
State: optimized geometry

Summary:
- Formation energy from the elements: 0.1045 eV/atom
- N(E_F): 11.70 states/eV/f.u.

Cell lengths 6.481, 6.481, 11.671 Å; angles 90.00, 90.00, 126.52 degrees
Atoms (fractional coordinates):
La 0.004 0.996 0.750
La 0.996 0.004 0.250
Pr 0.500 0.500 0.000
Pr 0.500 0.500 0.500
Dy 0.324 0.676 0.750
Dy 0.676 0.324 0.250
Tm 0.175 0.825 0.004
Tm 0.175 0.825 0.496
Tm 0.328 0.672 0.250
Tm 0.672 0.328 0.750
Tm 0.825 0.175 0.504
Tm 0.825 0.175 0.996

Material: PrHo5Er6
Method: DFT, GGA-PBE
State: optimized geometry

Summary:
- Formation energy from the elements: 0.0211 eV/atom
- N(E_F): 15.84 states/eV/f.u.

Cell lengths 6.111, 6.111, 11.695 Å; angles 94.99, 94.99, 119.96 degrees
Atoms (fractional coordinates):
Pr 0.000 0.000 0.000
Ho 0.167 0.833 0.500
Ho 0.333 0.667 0.000
Ho 0.500 0.500 0.500
Ho 0.667 0.333 0.000
Ho 0.833 0.167 0.500
Er 0.084 0.418 0.252
Er 0.251 0.251 0.748
Er 0.418 0.084 0.252
Er 0.582 0.916 0.748
Er 0.749 0.749 0.252
Er 0.916 0.582 0.748

Material: Na4CrRh3S8
Method: DFT, GGA-PBE
State: optimized geometry

Summary:
- Raw formation energy: -0.79 eV per atom

Cell lengths 7.601, 7.601, 7.601 Å; angles 56.93, 56.93, 56.93 degrees
Atoms (fractional coordinates):
Na 0.000 0.000 0.000
Na 0.000 0.500 0.500
Na 0.500 0.000 0.500
Na 0.500 0.500 0.000
Cr 0.500 0.500 0.500
Rh 0.000 0.000 0.500
Rh 0.000 0.500 0.000
Rh 0.500 0.000 0.000
S 0.229 0.229 0.229
S 0.230 0.732 0.732
S 0.268 0.268 0.770
S 0.268 0.770 0.268
S 0.732 0.230 0.732
S 0.732 0.732 0.230
S 0.770 0.268 0.268
S 0.771 0.771 0.771

Material: TbCoSn2
Method: DFT, GGA-PBE
State: optimized geometry

Summary:
- Formation energy from the elements: -0.3484 eV/atom
- N(E_F): 2.85 states/eV/f.u.

Cell lengths 5.914, 5.914, 5.914 Å; angles 43.06, 43.06, 43.06 degrees
Atoms (fractional coordinates):
Tb 0.000 0.000 0.000
Co 0.500 0.500 0.500
Sn 0.221 0.221 0.221
Sn 0.779 0.779 0.779

Material: LaNdHo2Tm
Method: DFT, GGA-PBE
State: optimized geometry

Summary:
- Formation energy from the elements: 0.2317 eV/atom
- N(E_F): 7.45 states/eV/f.u.

Cell lengths 3.625, 5.605, 8.612 Å; angles 90.00, 90.00, 90.00 degrees
Atoms (fractional coordinates):
La 0.000 0.000 0.000
Nd 0.500 0.000 0.500
Ho 0.000 0.500 0.317
Ho 0.000 0.500 0.683
Tm 0.500 0.500 0.000

Material: Pm5Dy2TmSc
Method: DFT, GGA-PBE
State: optimized geometry

Summary:
- Formation energy from the elements: 0.1256 eV/atom
- N(E_F): 12.84 states/eV/f.u.

Cell lengths 11.226, 11.226, 10.175 Å; angles 90.00, 90.00, 152.48 degrees
Atoms (fractional coordinates):
Pm 0.000 0.000 0.000
Pm 0.000 0.000 0.500
Pm 0.127 0.873 0.750
Pm 0.221 0.779 0.062
Pm 0.221 0.779 0.438
Pm 0.500 0.500 0.250
Pm 0.500 0.500 0.750
Pm 0.779 0.221 0.562
Pm 0.779 0.221 0.938
Pm 0.873 0.127 0.250
Dy 0.384 0.616 0.501
Dy 0.384 0.616 0.999
Dy 0.616 0.384 0.001
Dy 0.616 0.384 0.499
Tm 0.101 0.899 0.250
Tm 0.899 0.101 0.750
Sc 0.287 0.713 0.750
Sc 0.713 0.287 0.250

Material: Hf2ScGe
Method: DFT, GGA-PBE
State: optimized geometry

Summary:
- Formation energy from the elements: 0.0812 eV/atom
- N(E_F): 3.92 states/eV/f.u.

Cell lengths 6.275, 6.275, 6.275 Å; angles 101.64, 101.64, 126.62 degrees
Atoms (fractional coordinates):
Hf 0.087 0.625 0.962
Hf 0.375 0.337 0.462
Hf 0.663 0.125 0.038
Hf 0.875 0.913 0.538
Sc 0.250 0.750 0.500
Sc 0.500 0.500 0.000
Ge 0.000 0.000 0.000
Ge 0.750 0.250 0.500

Material: Sr2YAu
Method: DFT, GGA-PBE
State: optimized geometry

Summary:
- Offset from the most stable computed form: 42.2 kJ per mole of atoms
- Formation energy from the elements: 0.0776 eV/atom
- N(E_F): 4.57 states/eV/f.u.

Cell lengths 5.744, 5.744, 5.744 Å; angles 60.00, 60.00, 60.00 degrees
Atoms (fractional coordinates):
Sr 0.250 0.250 0.250
Sr 0.750 0.750 0.750
Y 0.000 0.000 0.000
Au 0.500 0.500 0.500

Material: TlGa2HgTe4
Method: DFT, GGA-PBE
State: optimized geometry

Summary:
- N(E_F): 3.28 states/eV/f.u.
- Raw formation energy: -0.09 eV per atom

Cell lengths 7.056, 7.056, 7.056 Å; angles 118.89, 108.87, 101.15 degrees
Atoms (fractional coordinates):
Tl 0.000 0.000 0.000
Ga 0.355 0.855 0.500
Ga 0.645 0.145 0.500
Hg 0.500 0.500 0.000
Te 0.100 0.078 0.572
Te 0.495 0.922 0.023
Te 0.505 0.528 0.428
Te 0.900 0.472 0.977

Material: SnAsO3
Method: DFT, GGA-PBE
State: optimized geometry

Summary:
- N(E_F): 0.84 states/eV/f.u.
- Raw formation energy: -0.89 eV per atom

Cell lengths 3.940, 3.940, 3.940 Å; angles 90.00, 90.00, 90.00 degrees
Atoms (fractional coordinates):
Sn 0.000 0.000 0.000
As 0.500 0.500 0.500
O 0.000 0.500 0.500
O 0.500 0.000 0.500
O 0.500 0.500 0.000

Material: Sc2ZnAg
Method: DFT, GGA-PBE
State: optimized geometry

Summary:
- Formation energy from the elements: -0.1408 eV/atom
- N(E_F): 4.70 states/eV/f.u.

Cell lengths 5.415, 5.415, 5.415 Å; angles 135.10, 135.10, 65.37 degrees
Atoms (fractional coordinates):
Sc 0.000 0.000 0.000
Sc 0.750 0.250 0.500
Zn 0.250 0.750 0.500
Ag 0.500 0.500 0.000

no.,raw total energy (Ry per atom)
1,-0.501
2,-0.332
3,-0.336
4,-0.379
5,-0.388
6,-0.326
7,-0.348
8,-0.561
9,-0.235
10,-0.202
11,-0.411
12,-0.319